Density functional theory data (GGA-PBE) for a relaxed InAg3Sn crystal.

As for the symmetry: R3c, No. 161. The formation energy is 13.9 kJ per mole of atoms. As for the distance to the lowest polymorph of the same formula: 0.33 eV/f.u. The calculation puts the total magnetic moment at 0.00 μB/f.u. For the density, the calculation gives 8.0 g cm⁻³.

Cell: 6.560 6.560 6.560 Å, 67.25 67.25 67.25°
Fractional positions:
In  0.749  0.749  0.749
In  0.249  0.249  0.249
Ag  0.103  0.853  0.326
Ag  0.326  0.103  0.853
Ag  0.853  0.326  0.103
Ag  0.603  0.826  0.353
Ag  0.826  0.353  0.603
Ag  0.353  0.603  0.826
Sn  0.940  0.940  0.940
Sn  0.440  0.440  0.440



Density functional theory data (GGA-PBE) for a relaxed CaCoC3 crystal.

As for the symmetry: Pm-3m, No. 221. The formation energy is 362.9 kJ per mole of atoms. As for the distance to the lowest polymorph of the same formula: 11.35 eV/f.u. The calculation puts the total magnetic moment at 0.00 μB/f.u. For the density, the calculation gives 2.9 g cm⁻³.

Cell: 4.240 4.240 4.240 Å, 90.00 90.00 90.00°
Fractional positions:
Ca  0.000  0.000  0.000
Co  0.500  0.500  0.500
C  0.000  0.500  0.000
C  0.000  0.000  0.500
C  0.500  0.000  0.000



Density functional theory data (GGA-PBE) for a relaxed Sr2TiSe2 crystal.

As for the formation energy from raw total energies: -4.47 eV per formula unit. As for the symmetry: I4/mmm, No. 139. As for the distance to the lowest polymorph of the same formula: 0.92 eV/f.u. The calculation puts the total magnetic moment at 2.00 μB/f.u. For the density, the calculation gives 3.5 g cm⁻³.

Cell: 6.254 6.254 6.403 Å, 60.76 60.76 90.00°
Last column: magnetic moment on the atom in μB.
Fractional positions:
Sr  0.750  0.250  0.500  0.03
Sr  0.250  0.750  0.500  0.03
Se  0.266  0.266  0.469  -0.03
Se  0.734  0.734  0.531  -0.03
Ti  0.000  0.000  0.000  1.30



Density functional theory data (GGA-PBE) for a relaxed BeFeIr2 crystal.

As for the symmetry: R-3m, No. 166. The formation energy is -14.2 kJ per mole of atoms. The calculation puts the total magnetic moment at 3.42 μB/f.u. For the density, the calculation gives 14.7 g cm⁻³.

Cell: 8.086 8.086 8.086 Å, 19.36 19.36 19.36°
Last column: magnetic moment on the atom in μB.
Fractional positions:
Be  0.250  0.250  0.250  -0.01
Ir  0.994  0.994  0.994  0.31
Ir  0.506  0.506  0.506  0.31
Fe  0.750  0.750  0.750  2.77



Density functional theory data (GGA-PBE) for a relaxed KCe4Se8 crystal.

As for the formation energy from raw total energies: -21.17 eV per formula unit. As for the symmetry: C2/m, No. 12. The calculation puts the total magnetic moment at 1.25 μB/f.u. For the density, the calculation gives 4.0 g cm⁻³.

Cell: 8.565 8.565 9.046 Å, 103.11 104.33 119.93°
Last column: magnetic moment on the atom in μB.
Fractional positions:
K  0.000  0.500  0.500  0.00
Ce  0.248  0.248  0.000  0.37
Ce  0.752  0.752  0.000  0.37
Ce  0.262  0.764  0.026  0.36
Ce  0.738  0.236  0.974  0.36
Se  0.692  0.024  0.188  -0.02
Se  0.164  0.496  0.188  -0.02
Se  0.679  0.499  0.177  -0.02
Se  0.178  0.018  0.196  -0.02
Se  0.822  0.982  0.804  -0.02
Se  0.321  0.501  0.823  -0.02
Se  0.836  0.504  0.812  -0.02
Se  0.308  0.976  0.812  -0.02



Density functional theory data (GGA-PBE) for a relaxed Mg2RuBr crystal.

As for the formation energy from raw total energies: 0.89 eV per formula unit. As for the symmetry: C2/m, No. 12. As for the distance to the lowest polymorph of the same formula: 1.77 eV/f.u. The calculation puts the total magnetic moment at 0.00 μB/f.u. For the density, the calculation gives 5.2 g cm⁻³.

Cell: 5.369 5.369 4.831 Å, 63.33 63.33 36.56°
Fractional positions:
Br  0.250  0.250  0.250
Mg  0.005  0.005  0.994
Mg  0.495  0.495  0.506
Ru  0.750  0.750  0.750